Y2CdN | PBE | relaxed

Summary:
As for the total moment: 2.4 Bohr magnetons per cell.

a b c (Å): 3.4994 6.0613 15.8938
angles (deg): 90.00 90.09 90.00
With the nearest neighbours (Å) after each atom.
Space group C2/c (No. 15)
Symmetry-distinct sites (fractional):
Y (0.0009, 0.1666, 0.0846) (multiplicity 8)  3 N 2.43
Cd (0.0000, 0.1668, 0.7500) (multiplicity 4)  6 Y 3.31-3.32, 6 Cd 3.50
N (0.0000, 0.5000, 0.0000) (multiplicity 4)  6 Y 2.43


Y2CdN | PBE | relaxed

Summary:
As for the total moment: 1.1 Bohr magnetons per cell.

a b c (Å): 3.5041 3.5041 15.8805
angles (deg): 90.00 90.00 120.00
With the nearest neighbours (Å) after each atom.
Space group P6_3/mmc (No. 194)
Symmetry-distinct sites (fractional):
Y (0.3333, 0.6667, 0.0849) (multiplicity 4)  3 N 2.43
Cd (0.3333, 0.6667, 0.7500) (multiplicity 2)  6 Y 3.31, 6 Cd 3.50
N (0.0000, 0.0000, 0.0000) (multiplicity 2)  6 Y 2.43


Y4Zr2Cd3N3 | PBE | relaxed

Summary:
As for the total moment: 0.0 Bohr magnetons per cell.

a b c (Å): 10.3226 5.9708 15.8121
angles (deg): 90.00 102.77 90.00
With the nearest neighbours (Å) after each atom.
Space group C2/c (No. 15)
Symmetry-distinct sites (fractional):
Y (0.1138, 0.0769, 0.0899) (multiplicity 8)  3 N 2.44-2.45
Y (0.2164, 0.0875, 0.4100) (multiplicity 8)  3 N 2.44-2.45
Zr (0.0622, 0.4135, 0.9269) (multiplicity 8)  3 N 2.25
Cd (0.0000, 0.1273, 0.7500) (multiplicity 4)  2 Cd 2.99, 2 Zr 3.22, 4 Y 3.25
Cd (0.1440, 0.4392, 0.2486) (multiplicity 8)  2 Cd 2.98-2.99, 2 Zr 3.22-3.24, 4 Y 3.26-3.28
N (0.0798, 0.2607, 0.5000) (multiplicity 8)  2 Zr 2.25, 4 Y 2.44-2.45
N (0.2500, 0.2500, 0.0000) (multiplicity 4)  2 Zr 2.25, 4 Y 2.44-2.45


Zr4ZnCdN2 | PBE | relaxed

Summary:
As for the total moment: 0.0 Bohr magnetons per cell.

a b c (Å): 3.3037 3.3037 14.4293
angles (deg): 90.00 90.00 120.00
With the nearest neighbours (Å) after each atom.
Space group P-6m2 (No. 187)
Symmetry-distinct sites (fractional):
Zr (0.0000, 0.0000, 0.1564) (multiplicity 2)  3 N 2.27
Zr (0.3333, 0.6667, 0.3266) (multiplicity 2)  3 N 2.27
Zn (0.3333, 0.6667, 0.0000) (multiplicity 1)  6 Zr 2.95, 6 Zn 3.30
Cd (0.0000, 0.0000, 0.5000) (multiplicity 1)  6 Zr 3.15, 6 Cd 3.30
N (0.6667, 0.3333, 0.2417) (multiplicity 2)  6 Zr 2.27


ZrCd2N | PBE | relaxed

Summary:
As for the total moment: 1.8 Bohr magnetons per cell.

a b c (Å): 3.2648 3.2648 15.6910
angles (deg): 90.00 90.00 120.00
With the nearest neighbours (Å) after each atom.
Space group P6_3/mmc (No. 194)
Symmetry-distinct sites (fractional):
Zr (0.3333, 0.6667, 0.2500) (multiplicity 2)  6 Cd 3.16, 6 Zr 3.26
Cd (0.3333, 0.6667, 0.5884) (multiplicity 4)  3 N 2.34
N (0.0000, 0.0000, 0.0000) (multiplicity 2)  6 Cd 2.34


Zr3CdN2 | PBE | relaxed

Summary:
As for the total moment: 0.0 Bohr magnetons per cell.

a b c (Å): 3.3292 3.3292 19.8094
angles (deg): 90.00 90.00 120.00
With the nearest neighbours (Å) after each atom.
Space group P6_3/mmc (No. 194)
Symmetry-distinct sites (fractional):
Zr (0.0000, 0.0000, 0.0000) (multiplicity 2)  6 N 2.36
Zr (0.3333, 0.6667, 0.1249) (multiplicity 4)  3 N 2.22
Cd (0.0000, 0.0000, 0.2500) (multiplicity 2)  6 Zr 3.14, 6 Cd 3.33
N (0.3333, 0.6667, 0.5688) (multiplicity 4)  6 Zr 2.22-2.36


no.,electronic total energy (eV per atom)
1,-6.4467
2,-6.4473
3,-6.8120
4,-7.5743
5,-4.1535
6,-8.3686